VASP calculation (PBE-GGA) on NaMnI2Cl after structural relaxation. Values from VASP.

Values from the calculation:
Its space-group type is P4/mmm.

The structure in Quantum ESPRESSO input format:
```
&SYSTEM
  ibrav = 0, nat = 5, ntyp = 4
/
ATOMIC_SPECIES
Cl 35.45 Cl.upf
Mn 54.94 Mn.upf
I 126.90 I.upf
Na 22.99 Na.upf
CELL_PARAMETERS angstrom
5.8640 0.0000 0.0000
0.0000 5.8640 0.0000
0.0000 0.0000 4.8305
ATOMIC_POSITIONS crystal
Cl 0.0000 0.0000 0.5000
Mn 0.0000 0.0000 0.0000
I 0.5000 0.0000 0.0000
I 0.0000 0.5000 0.0000
Na 0.5000 0.5000 0.5000
```

VASP calculation (PBE-GGA) on MnNiICl2 after structural relaxation. Values from VASP.

Values from the calculation:
Its space-group type is P4/mmm.

The structure in Quantum ESPRESSO input format:
```
&SYSTEM
  ibrav = 0, nat = 5, ntyp = 4
/
ATOMIC_SPECIES
Cl 35.45 Cl.upf
Mn 54.94 Mn.upf
I 126.90 I.upf
Ni 58.69 Ni.upf
CELL_PARAMETERS angstrom
5.9688 0.0000 0.0000
0.0000 4.5994 0.0000
0.0000 0.0000 5.9688
ATOMIC_POSITIONS crystal
Cl 0.5000 0.0000 0.0000
Cl 0.0000 0.0000 0.5000
Mn 0.5000 0.5000 0.5000
I 0.0000 0.0000 0.0000
Ni 0.0000 0.5000 0.0000
```

Formation energy without anion corrections across the listed records, respectively: -18.7 17.1 kcal/mol of atoms.
M_tot across the listed records, respectively: 5.00 6.21 μB/f.u..